This record from the Open Quantum Materials Database describes a relaxed structure of Ta4GaPbN2. The functional is PBE.

```
Ta4GaPbN2
1.0
3.2230 0.0000 0.0000
-1.6115 2.7912 0.0000
0.0000 0.0000 13.5314
Ta Ga Pb N
4 1 1 2
Direct
0.0000 0.0000 0.1535 Ta
0.0000 0.0000 0.8465 Ta
0.3333 0.6667 0.3197 Ta
0.3333 0.6667 0.6803 Ta
0.3333 0.6667 0.0000 Ga
0.0000 0.0000 0.5000 Pb
0.6667 0.3333 0.2380 N
0.6667 0.3333 0.7620 N
```

Values from the calculation:
* symmetry: No. 187
* total energy: -9.214 eV per atom
* volume: 15.22 A^3/atom